# YPuRh4 | Alexandria via LeMat-Bulk | PBE | relaxed
# DFT total energy: -53.74 eV per cell
# E_form: -0.59 eV per atom
data_YPuRh4
_chemical_formula_sum 'Y1 Pu1 Rh4'
_cell_length_a 5.3423
_cell_length_b 5.3423
_cell_length_c 5.3423
_cell_angle_alpha 60.00
_cell_angle_beta 60.00
_cell_angle_gamma 60.00
_symmetry_space_group_name_H-M 'P 1'
_symmetry_Int_Tables_number 1
loop_
_symmetry_equiv_pos_as_xyz
'x,y,z'
loop_
_atom_site_label
_atom_site_fract_x
_atom_site_fract_y
_atom_site_fract_z
_atom_site_occupancy
Y1 0.0000 0.0000 0.0000 1
Pu1 0.7500 0.7500 0.7500 1
Rh1 0.3751 0.3751 0.3751 1
Rh2 0.3751 0.3751 0.8746 1
Rh3 0.3751 0.8746 0.3751 1
Rh4 0.8746 0.3751 0.3751 1